# 1
Below is an optimized crystal structure of PrBiAsO, with properties calculated at the PBE-GGA level.

Cell: 4.8592 6.4470 6.8178 Å, 90.00 90.00 90.00°
With the nearest neighbours (Å) after each atom.
Space group Pmc2_1 (No. 26)
Asymmetric unit:
Pr1 0.0000 0.1612 0.0000 [2 per cell]  2 O 2.27-2.30
Bi1 0.5000 0.2469 0.3734 [2 per cell]  2 O 2.53
As1 0.5000 0.3166 0.7978 [2 per cell]  2 Bi 2.86-2.93, 2 Pr 2.97
O1 0.0000 0.1468 0.3374 [2 per cell]  2 Pr 2.27-2.30, 2 Bi 2.53

Computed properties:
* offset from the most stable computed form: 209 meV per atom
* uncorrected energy: -0.4223 Ry per atom

---

# 2
Below is an optimized crystal structure of Cs2NaCuBr6, with properties calculated at the PBE-GGA level.

Cell: 10.9511 10.9511 10.9511 Å, 90.00 90.00 90.00°
With the nearest neighbours (Å) after each atom.
Space group Fm-3m (No. 225)
Asymmetric unit:
Cs1 0.2500 0.2500 0.2500 [8 per cell]  12 Br 3.88
Na1 0.0000 0.0000 0.0000 [4 per cell]  6 Br 2.92
Cu1 0.0000 0.0000 0.5000 [4 per cell]  6 Br 2.55
Br1 0.0000 0.0000 0.2667 [24 per cell]  1 Cu 2.55

Computed properties:
* uncorrected energy: -0.2010 Ry per atom

---

# 3
Below is an optimized crystal structure of GdYCd2, with properties calculated at the PBE-GGA level.

Cell: 5.2961 6.8839 11.6197 Å, 90.00 90.00 90.00°
With the nearest neighbours (Å) after each atom.
Space group Amm2 (No. 38)
Asymmetric unit:
Gd1 0.0000 0.0000 0.0000 [2 per cell]  8 Cd 3.29-3.44, 4 Y 3.36-3.39
Gd2 0.5000 0.0000 0.3425 [2 per cell]  8 Cd 3.19-3.46, 4 Y 3.40
Y1 0.0000 0.2388 0.7447 [4 per cell]  6 Cd 3.22-3.42, 2 Y 3.29-3.60, 4 Gd 3.36-3.40
Cd1 0.0000 0.0000 0.4951 [2 per cell]  4 Gd 3.19-3.44, 4 Cd 3.31, 4 Y 3.33-3.42
Cd2 0.5000 0.0000 0.8318 [2 per cell]  4 Y 3.28, 4 Gd 3.29-3.44, 4 Cd 3.30-3.45
Cd3 0.5000 0.2422 0.5867 [4 per cell]  2 Y 3.22, 4 Gd 3.29-3.46, 6 Cd 3.30-3.55

Computed properties:
* DFT formation energy: -71 kJ/mol of formula units
* offset from the most stable computed form: 161 meV per atom
* uncorrected energy: -0.2508 Ry per atom